Computed, not measured: ZrSi2Au at its PBEsol-relaxed geometry at the SCAN level of DFT.

Calculated values
electronic total energy	-29.951	eV/atom
crystal system	trigonal
E_form (uncorrected)	0.021	eV/atom
total magnetic moment	0.00	μB per atom

Cell and atoms, written as CIF:
```
data_ZrSi2Au
_space_group_name_H-M_alt 'R -3 m'
_space_group_IT_number 166
_space_group_name_Hall '-R 3 2"'
_cell_length_a 3.0074
_cell_length_b 3.0074
_cell_length_c 25.7611
_cell_angle_alpha 90.00
_cell_angle_beta 90.00
_cell_angle_gamma 120.00
loop_
_atom_site_label
_atom_site_fract_x
_atom_site_fract_y
_atom_site_fract_z
_atom_site_occupancy
Zr1 0.0000 0.0000 0.0000 1
Si1 0.0000 0.0000 0.2457 1
Au1 0.0000 0.0000 0.5000 1
```